Entry A
{
  "formula": "Nb2GaNi4",
  "functional": "PBE",
  "state": "optimized geometry",
  "crystal_system": "tetragonal",
  "dos_ef_per_ev_fu": 10.409,
  "cell": [[-3.482, -2.333, 0.455], [1.595, -2.891, -2.621], [1.707, -5.607, 3.834]],
  "species": ["Nb", "Nb", "Ni", "Ni", "Ni", "Ni", "Ga"],
  "frac_coords": [[0.635, 0.635, 0.730], [0.365, 0.365, 0.270], [0.183, 0.183, 0.634], [0.500, 0.000, 0.000], [0.817, 0.817, 0.366], [0.000, 0.500, 0.000], [0.000, 0.000, 0.000]]
}

Entry B
{
  "formula": "Nb2GaNi4",
  "functional": "PBE",
  "state": "optimized geometry",
  "crystal_system": "triclinic",
  "dos_ef_per_ev_fu": 6.009,
  "cell": [[-4.682, -1.321, 0.445], [-2.123, -2.041, -3.731], [3.704, -3.668, 1.356]],
  "species": ["Nb", "Nb", "Ga", "Ni", "Ni", "Ni", "Ni"],
  "frac_coords": [[0.654, 0.500, 0.308], [0.346, 0.500, 0.692], [0.000, 0.000, 0.000], [0.752, 0.999, 0.504], [0.500, 0.000, 0.000], [0.000, 0.500, 0.000], [0.248, 0.001, 0.496]]
}

What should be chosen as the least stable of them? Choose entry A.

Entry A
{
  "formula": "NbGa3Ni",
  "functional": "PBE",
  "state": "optimized geometry",
  "crystal_system": "cubic",
  "dos_ef_per_ev_fu": 5.190,
  "cell": [[-1.494, -4.644, -0.981], [3.096, -0.174, -3.892], [3.598, -1.779, 2.941]],
  "species": ["Ga", "Ga", "Ga", "Nb", "Ni"],
  "frac_coords": [[0.000, 0.500, 0.000], [0.000, 0.000, 0.500], [0.500, 0.000, 0.000], [0.000, 0.000, 0.000], [0.500, 0.500, 0.500]]
}

Entry B
{
  "formula": "NbGa3Ni",
  "functional": "PBE",
  "state": "optimized geometry",
  "crystal_system": "cubic",
  "dos_ef_per_ev_fu": 3.531,
  "cell": [[-1.917, 3.876, -0.984], [-1.493, -1.706, -3.812], [-3.710, -1.316, 2.042]],
  "species": ["Ni", "Nb", "Ga", "Ga", "Ga"],
  "frac_coords": [[0.000, 0.000, 0.000], [0.500, 0.500, 0.500], [0.500, 0.000, 0.000], [0.000, 0.500, 0.000], [0.000, 0.000, 0.500]]
}

What should be chosen as the least stable of them? Choose entry A.

Entry A
{
  "formula": "NbGa2Ni4",
  "functional": "PBE",
  "state": "optimized geometry",
  "crystal_system": "trigonal",
  "dos_ef_per_ev_fu": 5.970,
  "cell": [[3.952, 0.000, 1.235], [1.783, 3.527, 1.235], [0.065, 0.040, 6.734]],
  "species": ["Nb", "Ni", "Ni", "Ni", "Ni", "Ga", "Ga"],
  "frac_coords": [[0.000, 0.000, 0.000], [0.866, 0.866, 0.401], [0.134, 0.134, 0.599], [0.410, 0.410, 0.769], [0.590, 0.590, 0.231], [0.261, 0.261, 0.218], [0.739, 0.739, 0.782]]
}

Entry B
{
  "formula": "NbGa2Ni4",
  "functional": "PBE",
  "state": "optimized geometry",
  "crystal_system": "tetragonal",
  "dos_ef_per_ev_fu": 8.574,
  "cell": [[-4.257, 1.609, 0.137], [-1.293, -3.166, -3.007], [-4.065, -4.580, 3.122]],
  "species": ["Ga", "Ga", "Ni", "Ni", "Ni", "Ni", "Nb"],
  "frac_coords": [[0.389, 0.389, 0.223], [0.611, 0.611, 0.777], [0.193, 0.193, 0.614], [0.500, 0.000, 0.000], [0.807, 0.807, 0.386], [0.000, 0.500, 0.000], [0.000, 0.000, 0.000]]
}

What should be chosen as the least stable of them? Choose entry B.

Entry A
{
  "formula": "Nb2GaO",
  "functional": "PBE",
  "state": "optimized geometry",
  "crystal_system": "tetragonal",
  "dos_ef_per_ev_fu": 3.714,
  "cell": [[5.009, 0.000, 0.000], [0.000, 5.009, 0.000], [2.505, 2.505, 5.896]],
  "species": ["O", "O", "Nb", "Nb", "Nb", "Nb", "Ga", "Ga"],
  "frac_coords": [[0.500, 0.500, 0.000], [0.250, 0.750, 0.500], [0.516, 0.125, 0.250], [0.375, 0.484, 0.750], [0.234, 0.625, 0.250], [0.875, 0.766, 0.750], [0.750, 0.250, 0.500], [0.000, 0.000, 0.000]]
}

Entry B
{
  "formula": "Nb2GaO",
  "functional": "PBE",
  "state": "optimized geometry",
  "crystal_system": "cubic",
  "dos_ef_per_ev_fu": 3.666,
  "cell": [[1.500, 0.352, 4.068], [1.604, 3.791, 1.406], [-2.201, 2.338, 2.934]],
  "species": ["Nb", "Nb", "Ga", "O"],
  "frac_coords": [[0.250, 0.250, 0.250], [0.750, 0.750, 0.750], [0.500, 0.500, 0.500], [0.000, 0.000, 0.000]]
}

What should be chosen as the least stable of them? Choose entry B.

Entry A
{
  "formula": "NbGa3O",
  "functional": "PBE",
  "state": "optimized geometry",
  "crystal_system": "cubic",
  "dos_ef_per_ev_fu": 1.372,
  "cell": [[4.232, 0.000, 0.000], [0.000, 4.232, 0.000], [0.000, 0.000, 4.232]],
  "species": ["Ga", "Ga", "Ga", "O", "Nb"],
  "frac_coords": [[0.500, 0.000, 0.000], [0.000, 0.000, 0.500], [0.000, 0.500, 0.000], [0.000, 0.000, 0.000], [0.500, 0.500, 0.500]]
}

Entry B
{
  "formula": "NbGa3O",
  "functional": "PBE",
  "state": "optimized geometry",
  "crystal_system": "cubic",
  "dos_ef_per_ev_fu": 4.380,
  "cell": [[5.106, 0.000, 0.000], [0.000, 5.106, 0.000], [0.000, 0.000, 5.106]],
  "species": ["Ga", "Ga", "Ga", "Nb", "O"],
  "frac_coords": [[0.500, 0.000, 0.000], [0.000, 0.000, 0.500], [0.000, 0.500, 0.000], [0.000, 0.000, 0.000], [0.500, 0.500, 0.500]]
}

What should be chosen as the least stable of them? Choose entry B.

Entry A
{
  "formula": "NbGaPO2",
  "functional": "PBE",
  "state": "optimized geometry",
  "crystal_system": "tetragonal",
  "dos_ef_per_ev_fu": 3.427,
  "cell": [[3.710, 0.000, 0.000], [0.000, 3.710, 0.000], [0.000, 0.000, 5.038]],
  "species": ["Ga", "O", "O", "Nb", "P"],
  "frac_coords": [[0.000, 0.000, 0.000], [0.500, 0.000, 0.000], [0.000, 0.500, 0.000], [0.500, 0.500, 0.500], [0.000, 0.000, 0.500]]
}

Entry B
{
  "formula": "NbGaPO2",
  "functional": "PBE",
  "state": "optimized geometry",
  "crystal_system": "tetragonal",
  "dos_ef_per_ev_fu": 1.270,
  "cell": [[3.916, 0.000, 0.000], [0.000, 3.916, 0.000], [0.000, 0.000, 5.308]],
  "species": ["Ga", "O", "O", "P", "Nb"],
  "frac_coords": [[0.500, 0.500, 0.500], [0.000, 0.500, 0.000], [0.500, 0.000, 0.000], [0.000, 0.000, 0.500], [0.000, 0.000, 0.000]]
}

What should be chosen as the least stable of them? Choose entry A.